# CrOs2Rh PBE-GGA optimized geometry
# DFT formation energy: 5.4 kJ per mole of atoms
# Energy: -39.21 eV/f.u.
# M_tot: 0.23 μB/atom
# Calculated volume: 13.8 A^3/atom
# Density of states at the Fermi level: 3.6 states/eV/cell
# Offset from the most stable computed form: 20 meV/atom
data_CrOs2Rh
_chemical_formula_sum 'Cr1 Os2 Rh1'
_space_group_name_H-M_alt 'P m m 2'
_space_group_IT_number 25
_cell_length_a 2.706
_cell_length_b 3.790
_cell_length_c 5.388
_cell_angle_alpha 90.00
_cell_angle_beta 90.00
_cell_angle_gamma 90.00
loop_
_space_group_symop_operation_xyz
'x,y,z'
'-x,-y,z'
'-x,y,z'
'x,-y,z'
loop_
_atom_site_label
_atom_site_fract_x
_atom_site_fract_y
_atom_site_fract_z
Cr1 0.000 0.000 0.000
Os1 0.000 0.000 0.485
Os2 0.500 0.500 0.249
Rh1 0.500 0.500 0.757